Below is a relaxed structure of PmPuTl2, with properties calculated at the GGA-PBE level.

Lattice parameters (Å, degrees): 3.4405 3.4405 9.4298 90.00 90.00 90.00
Last column: nearest neighbours and their distance in Å.
Element x y z (fractional)
Pm: 0.0000 0.0000 0.0000  8 Tl 3.40, 4 Pm 3.44
Pu: 0.0000 0.0000 0.5000  8 Tl 3.38, 4 Pu 3.44
Tl: 0.5000 0.5000 0.2511  4 Pu 3.38, 4 Pm 3.40, 4 Tl 3.44
Tl: 0.5000 0.5000 0.7489  4 Pu 3.38, 4 Pm 3.40, 4 Tl 3.44

Calculated values
Mass density in g cm⁻³: 11.9
Total magnetic moment in μB per formula unit: 5.88
ΔH_f (0 K) in eV/atom: -0.1901
E_tot in eV per cell: -24.58

=====

Below is a relaxed structure of Tl2CoSi, with properties calculated at the GGA-PBE level.

Lattice parameters (Å, degrees): 6.9259 6.9259 6.9259 154.72 142.62 45.66
Last column: nearest neighbours and their distance in Å.
Element x y z (fractional)
Tl: 0.0000 0.0000 0.0000  4 Tl 3.03-3.39, 4 Si 3.18, 2 Co 3.36
Tl: 0.7005 0.2005 0.5000  4 Co 2.72, 2 Tl 3.03
Co: 0.2347 0.7347 0.5000  2 Si 2.27
Si: 0.3672 0.3672 0.0000  2 Co 2.27

Calculated values
Mass density in g cm⁻³: 9.6
Total magnetic moment in μB per formula unit: 0.36
E_tot in eV per cell: -15.85

=====

| no. | D(E_F) (states/eV/cell) |
| --- | --- |
| 1 | 8.468 |
| 2 | 2.937 |